Below is a relaxed SrTl2Fe3F12 crystal, with properties calculated at the PBE with a Hubbard U level.

Structure (POSCAR):
```
SrTl2Fe3F12
1.0
3.852 2.224 5.744
-3.852 2.224 5.744
0.000 -4.448 5.744
Sr Tl Fe F
1 2 3 12
Direct
0.000 0.000 0.000 Sr
0.378 0.378 0.378 Tl
0.622 0.622 0.622 Tl
0.000 0.000 0.500 Fe
0.000 0.500 0.000 Fe
0.500 0.000 0.000 Fe
0.092 0.726 0.726 F
0.125 0.125 0.589 F
0.125 0.589 0.125 F
0.274 0.274 0.908 F
0.274 0.908 0.274 F
0.411 0.875 0.875 F
0.589 0.125 0.125 F
0.726 0.092 0.726 F
0.726 0.726 0.092 F
0.875 0.411 0.875 F
0.875 0.875 0.411 F
0.908 0.274 0.274 F
```

Calculated values
- energy (eV per atom) = -5.113
- total magnetization (μB per cell) = 14.00
- space-group type = R-3m, No. 166